Crystalline LiVF4 at its relaxed geometry, computed with PBE with a Hubbard U.

ΔE to the lowest computed polymorph   0.043 eV per atom
Symmetry   P2_1/c

a = 8.0417 Å, b = 5.1711 Å, c = 7.3416 Å
α = 90.00°, β = 104.65°, γ = 90.00°
Atoms (fractional coordinates):
Li1 0.1372 0.2038 0.4894
Li2 0.1372 0.2962 0.9894
Li3 0.8628 0.7038 0.0106
Li4 0.8628 0.7962 0.5106
V1 0.3284 0.7216 0.7286
V2 0.3284 0.7784 0.2286
V3 0.6716 0.2216 0.7714
V4 0.6716 0.2784 0.2714
F1 0.1115 0.6184 0.1189
F2 0.1115 0.8816 0.6189
F3 0.2041 0.0915 0.2585
F4 0.2041 0.4085 0.7585
F5 0.3238 0.5978 0.4707
F6 0.3238 0.9022 0.9707
F7 0.4467 0.0449 0.6695
F8 0.4467 0.4551 0.1695
F9 0.5533 0.5449 0.8305
F10 0.5533 0.9551 0.3305
F11 0.6762 0.0978 0.0293
F12 0.6762 0.4022 0.5293
F13 0.7959 0.5915 0.2415
F14 0.7959 0.9085 0.7415
F15 0.8885 0.1184 0.3811
F16 0.8885 0.3816 0.8811